Compound: Na2ThNpN4
Source: Alexandria
Functional: PBE
Structure: relaxed

Unit cell a=3.5983 b=6.1961 c=6.0621 alpha=110.24 beta=90.00 gamma=90.00
Fractional positions:
Na  0.0000  0.5000  0.5000
Na  0.5000  0.0000  0.5000
Th  0.5000  0.5000  0.0000
Np  0.0000  0.0000  0.0000
N  0.5000  0.7895  0.8144
N  0.0000  0.7651  0.1806
N  0.5000  0.2105  0.1856
N  0.0000  0.2349  0.8194

Summary:
ΔE_f (raw) ... -7.46 eV per formula unit
Fermi-level density of states ... 2.0 states/eV per cell
Mass density ... 7.5 g cm⁻³